# 1
The following is a GGA+U calculation of HfV2F after structural relaxation, from the Alexandria database.

## Properties
Density: 6.55 g/cm³
Calculated total energy: -5.772 eV per atom
Excess energy over the best structure of this formula in the dataset: 2.51 eV/f.u.
Size of the total moment: 2.053 μB per atom

```
HfV2F
1.0
0.000 3.361 3.361
3.361 0.000 3.361
3.361 3.361 0.000
V Hf F
2 1 1
Direct
0.250 0.250 0.250
0.750 0.750 0.750
0.500 0.500 0.500
0.000 0.000 0.000
```

=====

# 2
The following is a GGA+U calculation of Hf3VF after structural relaxation, from the Alexandria database.

## Properties
Density: 8.18 g/cm³
Calculated total energy: -6.849 eV per atom
Excess energy over the best structure of this formula in the dataset: 5.43 eV/f.u.
Size of the total moment: 0.447 μB per atom

```
Hf3VF
1.0
-1.260 -2.307 -4.220
4.758 -1.237 -0.745
-0.704 -4.227 2.521
V Hf F
1 3 1
Direct
0.000 0.000 0.000
0.000 0.500 0.000
0.000 0.000 0.500
0.500 0.000 0.000
0.500 0.500 0.500
```